Here is crystalline SmHo3Sn at its relaxed geometry from Alexandria. Energies are from GGA-PBE.

Summary:
Fermi-level density of states = 1.265 states/eV/atom
ΔE_f = 0.12 eV per atom
volume = 32.633 Å³ per atom
DFT total energy = -0.161 hartree per atom
space-group type = Ima2

Cell lengths 7.8604, 7.8604, 7.8604 Å; angles 87.22, 114.78, 129.01 degrees
With the nearest neighbours (Å) after each atom.
Sites, in units of the cell vectors:
Sm 0.2458 0.2500 0.4958  4 Ho 3.18-3.25, 2 Sn 3.20-3.21, 2 Sm 3.38
Sm 0.7542 0.7500 0.5042  4 Ho 3.18-3.25, 2 Sn 3.20-3.21, 2 Sm 3.38
Ho 0.1871 0.5063 0.1809  2 Sn 3.05-3.30, 2 Sm 3.18-3.20, 2 Ho 3.27
Ho 0.2266 0.5375 0.7591  1 Sm 3.25, 4 Ho 3.27-3.44, 2 Sn 3.28-3.41
Ho 0.2266 0.9674 0.1891  1 Sm 3.25, 4 Ho 3.27-3.44, 2 Sn 3.28-3.41
Ho 0.3254 0.0063 0.8191  2 Sn 3.05-3.30, 2 Sm 3.18-3.20, 2 Ho 3.27
Ho 0.7784 0.0375 0.8109  1 Sm 3.25, 4 Ho 3.27-3.44, 2 Sn 3.28-3.41
Ho 0.7784 0.4674 0.2409  1 Sm 3.25, 4 Ho 3.27-3.44, 2 Sn 3.28-3.41
Sn 0.6720 0.9933 0.1787  6 Ho 3.05-3.41, 2 Sm 3.20-3.21
Sn 0.8147 0.4933 0.8213  6 Ho 3.05-3.41, 2 Sm 3.20-3.21

Here is crystalline Pr2Y3Th at its relaxed geometry from Alexandria. Energies are from GGA-PBE.

Summary:
Fermi-level density of states = 1.381 states/eV/atom
polymorph energy (0 for the lowest one) = 0.000 eV per atom
ΔE_f = 0.02 eV per atom
volume = 33.557 Å³ per atom
DFT total energy = -0.222 hartree per atom
space-group type = Imma

Cell lengths 9.5880, 9.5880, 9.5880 Å; angles 148.85, 116.25, 72.66 degrees
With the nearest neighbours (Å) after each atom.
Sites, in units of the cell vectors:
Pr 0.0820 0.3320 0.7500  4 Pr 3.61-3.67, 8 Y 3.63-3.68
Pr 0.2512 0.0012 0.2500  8 Y 3.55-3.71, 2 Th 3.64, 2 Pr 3.67
Pr 0.7488 0.9988 0.7500  8 Y 3.55-3.71, 2 Th 3.64, 2 Pr 3.67
Pr 0.9180 0.6680 0.2500  4 Pr 3.61-3.67, 8 Y 3.63-3.68
Y 0.0000 0.5000 0.5000  6 Pr 3.61-3.63, 2 Th 3.63, 4 Y 3.66
Y 0.1774 0.1682 0.0092  3 Th 3.51-3.55, 5 Pr 3.55-3.71, 4 Y 3.61-3.66
Y 0.3409 0.8318 0.5092  3 Th 3.51-3.55, 5 Pr 3.55-3.71, 4 Y 3.61-3.66
Y 0.5000 0.5000 0.0000  6 Pr 3.61-3.63, 2 Th 3.63, 4 Y 3.66
Y 0.6591 0.1682 0.4908  3 Th 3.51-3.55, 5 Pr 3.55-3.71, 4 Y 3.61-3.66
Y 0.8226 0.8318 0.9908  3 Th 3.51-3.55, 5 Pr 3.55-3.71, 4 Y 3.61-3.66
Th 0.4182 0.6682 0.7500  8 Y 3.51-3.63, 2 Th 3.61, 2 Pr 3.64
Th 0.5818 0.3318 0.2500  8 Y 3.51-3.63, 2 Th 3.61, 2 Pr 3.64

Here is crystalline SrZrBe2 at its relaxed geometry from Alexandria. Energies are from GGA-PBE.

Summary:
Fermi-level density of states = 0.864 states/eV/atom
polymorph energy (0 for the lowest one) = 0.328 eV per atom
ΔE_f = 0.57 eV per atom
volume = 19.948 Å³ per atom
DFT total energy = -0.142 hartree per atom
space-group type = Fm-3m

Cell lengths 4.8323, 4.8323, 4.8323 Å; angles 60.00, 60.00, 60.00 degrees
With the nearest neighbours (Å) after each atom.
Sites, in units of the cell vectors:
Sr 0.0000 0.0000 0.0000  8 Be 2.96
Zr 0.5000 0.5000 0.5000  8 Be 2.96
Be 0.2500 0.2500 0.2500  4 Zr 2.96, 4 Sr 2.96
Be 0.7500 0.7500 0.7500  4 Sr 2.96, 4 Zr 2.96

Here is crystalline Li2CuPb at its relaxed geometry from Alexandria. Energies are from GGA-PBE.

Summary:
Fermi-level density of states = 0.189 states/eV/atom
ΔE_f = -0.08 eV per atom
volume = 17.856 Å³ per atom
DFT total energy = -0.110 hartree per atom
space-group type = C2/m

Cell lengths 4.7770, 4.7770, 3.2381 Å; angles 90.37, 90.37, 104.84 degrees
With the nearest neighbours (Å) after each atom.
Sites, in units of the cell vectors:
Li 0.0000 0.5000 0.0000  4 Pb 2.88-2.89, 4 Cu 2.88-2.89, 2 Li 2.91
Li 0.5000 0.0000 0.0000  4 Pb 2.88-2.89, 4 Cu 2.88-2.89, 2 Li 2.91
Cu 0.0000 0.0000 0.5000  8 Li 2.88-2.89, 2 Pb 2.91
Pb 0.5000 0.5000 0.5000  8 Li 2.88-2.89, 2 Cu 2.91

Here is crystalline Tm6Pb5 at its relaxed geometry from Alexandria. Energies are from GGA-PBE.

Summary:
Fermi-level density of states = 0.723 states/eV/atom
ΔE_f = -0.30 eV per atom
volume = 29.101 Å³ per atom
DFT total energy = -0.163 hartree per atom
space-group type = P-1

Cell lengths 5.0259, 8.1671, 8.1793 Å; angles 89.98, 89.95, 72.45 degrees
With the nearest neighbours (Å) after each atom.
Sites, in units of the cell vectors:
Tm 0.9998 0.0000 0.2415  6 Pb 3.12-3.33
Tm 0.0002 0.0000 0.7585  6 Pb 3.12-3.33
Tm 0.3312 0.3373 0.2645  7 Pb 3.18-3.46, 1 Tm 3.56
Tm 0.3309 0.3375 0.7353  7 Pb 3.18-3.45, 1 Tm 3.56
Tm 0.6691 0.6625 0.2647  7 Pb 3.18-3.45, 1 Tm 3.56
Tm 0.6688 0.6627 0.7355  7 Pb 3.18-3.46, 1 Tm 3.56
Pb 0.1485 0.7057 0.5001  8 Tm 3.12-3.46
Pb 0.1719 0.6563 0.0001  8 Tm 3.29-3.33, 4 Pb 3.49-3.68
Pb 0.5000 0.0000 0.0000  8 Tm 3.20-3.40
Pb 0.8281 0.3437 0.9999  8 Tm 3.29-3.33, 4 Pb 3.49-3.68
Pb 0.8515 0.2943 0.4999  8 Tm 3.12-3.46

Here is crystalline Ca2TaZn at its relaxed geometry from Alexandria. Energies are from GGA-PBE.

Summary:
Fermi-level density of states = 0.985 states/eV/atom
ΔE_f = 0.66 eV per atom
volume = 24.813 Å³ per atom
DFT total energy = -0.133 hartree per atom
space-group type = I-4m2

Cell lengths 5.7332, 5.7332, 5.7332 Å; angles 132.91, 132.91, 68.80 degrees
With the nearest neighbours (Å) after each atom.
Sites, in units of the cell vectors:
Ca 0.0000 0.0000 0.0000  4 Zn 3.24, 4 Ca 3.29, 4 Ta 3.29
Ca 0.7500 0.2500 0.5000  4 Ta 3.24, 4 Ca 3.29, 4 Zn 3.29
Ta 0.2500 0.7500 0.5000  8 Ca 3.24-3.29, 4 Zn 3.29
Zn 0.5000 0.5000 0.0000  8 Ca 3.24-3.29, 4 Ta 3.29

Q: Number 5 is which compound?
A: Tm6Pb5

Please write out number 2 again, unchanged.
Here is crystalline Pr2Y3Th at its relaxed geometry from Alexandria. Energies are from GGA-PBE.

Summary:
Fermi-level density of states = 1.381 states/eV/atom
polymorph energy (0 for the lowest one) = 0.000 eV per atom
ΔE_f = 0.02 eV per atom
volume = 33.557 Å³ per atom
DFT total energy = -0.222 hartree per atom
space-group type = Imma

Cell lengths 9.5880, 9.5880, 9.5880 Å; angles 148.85, 116.25, 72.66 degrees
With the nearest neighbours (Å) after each atom.
Sites, in units of the cell vectors:
Pr 0.0820 0.3320 0.7500  4 Pr 3.61-3.67, 8 Y 3.63-3.68
Pr 0.2512 0.0012 0.2500  8 Y 3.55-3.71, 2 Th 3.64, 2 Pr 3.67
Pr 0.7488 0.9988 0.7500  8 Y 3.55-3.71, 2 Th 3.64, 2 Pr 3.67
Pr 0.9180 0.6680 0.2500  4 Pr 3.61-3.67, 8 Y 3.63-3.68
Y 0.0000 0.5000 0.5000  6 Pr 3.61-3.63, 2 Th 3.63, 4 Y 3.66
Y 0.1774 0.1682 0.0092  3 Th 3.51-3.55, 5 Pr 3.55-3.71, 4 Y 3.61-3.66
Y 0.3409 0.8318 0.5092  3 Th 3.51-3.55, 5 Pr 3.55-3.71, 4 Y 3.61-3.66
Y 0.5000 0.5000 0.0000  6 Pr 3.61-3.63, 2 Th 3.63, 4 Y 3.66
Y 0.6591 0.1682 0.4908  3 Th 3.51-3.55, 5 Pr 3.55-3.71, 4 Y 3.61-3.66
Y 0.8226 0.8318 0.9908  3 Th 3.51-3.55, 5 Pr 3.55-3.71, 4 Y 3.61-3.66
Th 0.4182 0.6682 0.7500  8 Y 3.51-3.63, 2 Th 3.61, 2 Pr 3.64
Th 0.5818 0.3318 0.2500  8 Y 3.51-3.63, 2 Th 3.61, 2 Pr 3.64

Q: Which of these has the highest Fermi-level density of states?
A: Pr2Y3Th